# 1
A geometry-optimized Pr6NdHoEr2 structure, computed with PBE-GGA.

The formation energy comes out at 0.11 eV/atom. The value obtained for the volume is 1390.0 Å³/cell.

The structure belongs to space group C2/c (No. 15); the cell edges are 9.397, 15.335 and 9.724 Å and the angles 90.00°, 97.25° and 90.00°. The asymmetric unit holds Pr at (0.063, 0.176, 0.445), Pr at (0.095, 0.391, 0.617), Pr at (0.217, 0.222, 0.813), Nd at (0.000, 0.029, 0.750), Ho at (0.000, 0.411, 0.250) and Er at (0.250, 0.048, 0.049).

# 2
A geometry-optimized Pr6NdHo2Er structure, computed with PBE-GGA.

The formation energy comes out at 0.11 eV/atom. The value obtained for the volume is 1392.3 Å³/cell.

The structure belongs to space group C2/c (No. 15); the cell edges are 9.378, 15.387 and 9.725 Å and the angles 90.00°, 97.16° and 90.00°. The asymmetric unit holds Pr at (0.062, 0.178, 0.445), Pr at (0.097, 0.391, 0.617), Pr at (0.216, 0.222, 0.812), Nd at (0.000, 0.028, 0.750), Ho at (0.249, 0.451, 0.952) and Er at (0.000, 0.412, 0.250).

# 3
A geometry-optimized PrNd6Ho2Er3 structure, computed with PBE-GGA.

The formation energy comes out at 0.01 eV/atom. The value obtained for the volume is 798.1 Å³/cell.

The structure belongs to space group C2/m (No. 12); the cell edges are 6.276, 10.869 and 11.885 Å and the angles 90.00°, 100.11° and 90.00°. The asymmetric unit holds Pr at (0.000, 0.000, 0.000), Nd at (0.248, 0.333, 0.747), Nd at (0.250, 0.000, 0.748), Ho at (0.000, 0.333, 0.000), Er at (0.000, 0.167, 0.500) and Er at (0.000, 0.500, 0.500).

> formation energy of number 2 (Pr6NdHo2Er)?

0.11 eV/atom